# Er6CdIn2

A geometry-optimized Er6CdIn2 structure (PBE-GGA, the Alexandria database).

Calculated values
- DOS at the Fermi energy (states/eV per atom) = 1.35
- DFT formation energy (eV/atom) = -0.018
- SG = No. 71

Structure (CIF):
```
data_Er6CdIn2
_cell_length_a 5.1232
_cell_length_b 7.2494
_cell_length_c 8.8803
_cell_angle_alpha 114.09
_cell_angle_beta 106.78
_cell_angle_gamma 90.00
_space_group_name_H-M_alt 'P 1'
_space_group_IT_number 1
loop_
_space_group_symop_operation_xyz
'x,y,z'
loop_
_atom_site_label
_atom_site_fract_x
_atom_site_fract_y
_atom_site_fract_z
_atom_site_occupancy
Er1 0.1654 0.4127 0.3310 1
Er2 0.8346 0.0818 0.6690 1
Er3 0.8346 0.5873 0.6690 1
Er4 0.5000 0.2447 0.0000 1
Er5 0.1654 0.9182 0.3310 1
Er6 0.5000 0.7553 0.0000 1
Cd1 0.0000 0.0000 0.0000 1
In1 0.6664 0.6665 0.3330 1
In2 0.3336 0.3335 0.6670 1
```